NaTlV2O6: optimized geometry, PBE with a Hubbard U.

The space group is C2/c (No. 15) and the conventional cell measures 11.149, 11.423 and 6.018 Å, with angles of 90.00, 106.97 and 90.00 degrees. The distinct sites, in fractional coordinates, are Na at (0.000, 0.241, 0.250), Tl at (0.000, 0.391, 0.750), V at (0.200, 0.082, 0.704), O at (0.116, 0.205, 0.630), O at (0.146, 0.386, 0.214) and O at (0.162, 0.012, 0.949).

For the spin magnetization, the calculation gives 0.000 μB/cell. The volume is 18.3 Å³ per atom. The total energy is -6.5943 eV/atom.